CuTe2Au: relaxed, PBE-GGA.

- E_form (uncorrected) (eV/atom) = 0.273
- total moment (μB/cell) = 0.0
- electronic total energy (eV per atom) = -3.1417

```
data_CuTe2Au
_chemical_formula_sum 'Cu1 Te2 Au1'
_cell_length_a 3.826
_cell_length_b 3.976
_cell_length_c 6.531
_cell_angle_alpha 90.00
_cell_angle_beta 90.00
_cell_angle_gamma 90.00
_space_group_name_H-M_alt 'P m m m'
_space_group_IT_number 47
loop_
_space_group_symop_operation_xyz
'x,y,z'
'-x,-y,-z'
'-x,-y,z'
'x,y,-z'
'x,-y,-z'
'-x,y,z'
'-x,y,-z'
'x,-y,z'
loop_
_atom_site_label
_atom_site_type_symbol
_atom_site_fract_x
_atom_site_fract_y
_atom_site_fract_z
Cu1 Cu 0.000 0.000 0.000
Te1 Te 0.000 0.500 0.500
Te2 Te 0.500 0.500 0.000
Au1 Au 0.500 0.000 0.500
```